RhWN2F | PBE with a Hubbard U | optimized geometry

Cell and atoms, written as CIF:
```
data_RhWN2F
_chemical_formula_sum 'Rh1 W1 N2 F1'
_symmetry_space_group_name_H-M 'P 4/m m m'
_symmetry_Int_Tables_number 123
_symmetry_space_group_name_Hall '-P 4 2'
_cell_length_a 3.9996
_cell_length_b 3.9996
_cell_length_c 3.9144
_cell_angle_alpha 90.00
_cell_angle_beta 90.00
_cell_angle_gamma 90.00
loop_
_atom_site_label
_atom_site_fract_x
_atom_site_fract_y
_atom_site_fract_z
Rh1 0.0000 0.0000 0.0000
W1 0.5000 0.5000 0.5000
N1 0.0000 0.5000 0.0000
F1 0.0000 0.0000 0.5000
```

Magnetization ... 2.08 μB per formula unit
Raw total energy ... -5.6893 eV per atom